Record 1
The following is a PBE-GGA calculation of a geometry-optimized HgWAu2 structure, from Alexandria.

Values from the calculation:
E_tot = -4.44 eV per atom
Formation enthalpy at 0 K = 0.51 eV per atom
Density of states at the Fermi level = 0.57 states/eV per atom

Cell lengths 9.389, 2.839, 5.552 Å; angles 90.00, 96.67, 90.00 degrees
Space group C2/m (No. 12)
Inequivalent atoms, fractional coordinates:
Hg1 0.000 0.000 0.000 x2
W1 0.000 0.500 0.500 x2
Au1 0.244 0.000 0.729 x4

=====

Record 2
The following is a PBE-GGA calculation of a geometry-optimized LaCe3Sb4 structure, from Alexandria.

Values from the calculation:
E_tot = -6.00 eV per atom
Formation energy without anion corrections = -1.0968 eV/atom
Density of states at the Fermi level = 2.57 states/eV per atom

Cell lengths 9.070, 12.823, 4.533 Å; angles 90.00, 90.00, 90.00 degrees
Space group Cmmm (No. 65)
Inequivalent atoms, fractional coordinates:
La1 0.000 0.000 0.000 x2
Ce1 0.000 0.500 0.000 x2
Ce2 0.250 0.250 0.500 x4
Sb1 0.000 0.253 0.000 x4
Sb2 0.245 0.500 0.500 x4

=====

Record 3
The following is a PBE-GGA calculation of a geometry-optimized ZnCd structure, from Alexandria.

Values from the calculation:
E_tot = -0.88 eV per atom
Formation enthalpy at 0 K = 0.21 eV per atom
Density of states at the Fermi level = 0.70 states/eV per atom

Cell lengths 5.631, 5.631, 5.631 Å; angles 90.00, 90.00, 90.00 degrees
Space group Fm-3m (No. 225)
Inequivalent atoms, fractional coordinates:
Zn1 0.000 0.000 0.000 x4
Cd1 0.000 0.000 0.500 x4